# 1
A relaxed structure of CeScTc. Source: Alexandria via LeMat-Bulk, functional PBE-GGA.

Cell lengths 3.3220, 3.3220, 12.2407 Å; angles 90.00, 90.00, 90.00 degrees
Closest atoms and distances in Å follow each position.
Space group I4mm (No. 107)
Unique sites:
1 Ce 0.0000 0.0000 0.0000 (multiplicity 2)  4 Tc 2.88
2 Sc 0.0000 0.0000 0.2647 (multiplicity 2)  4 Tc 2.83
3 Tc 0.0000 0.0000 0.6364 (multiplicity 2)  4 Sc 2.83, 4 Ce 2.88

Properties
**VASP energy**: -0.281 hartree per atom
**Volume**: 22.51 Å³ per atom
**E_form**: -0.110 eV/atom
**Energy relative to the lowest polymorph listed for this composition**: 0.049 eV/f.u.
**Density**: 7.0 g/cm³

---

# 2
A relaxed structure of Sr2Li16Pm. Source: Alexandria via LeMat-Bulk, functional PBE-GGA.

Cell lengths 10.3570, 10.3570, 15.1616 Å; angles 90.00, 90.00, 120.00 degrees
Closest atoms and distances in Å follow each position.
Space group R3m (No. 160, hexagonal axes)
Unique sites:
1 Sr 0.0000 0.0000 0.0000 (multiplicity 3)  15 Li 3.66-3.98, 1 Pm 3.82
2 Sr 0.0000 0.0000 0.3063 (multiplicity 3)  19 Li 3.62-4.00
3 Li 0.0000 0.0000 0.5451 (multiplicity 3)  6 Li 3.01-3.14, 1 Pm 3.08
4 Li 0.0012 0.2966 0.6470 (multiplicity 18)  8 Li 2.91-3.18
5 Li 0.0140 0.5070 0.1508 (multiplicity 9)  9 Li 2.90-3.08
6 Li 0.1686 0.3372 0.8299 (multiplicity 9)  8 Li 3.03-3.18, 1 Pm 3.27
7 Li 0.1702 0.3405 0.1357 (multiplicity 9)  9 Li 2.90-3.16
8 Pm 0.0000 0.0000 0.7481 (multiplicity 3)  13 Li 3.08-3.43

Properties
**VASP energy**: -0.073 hartree per atom
**Volume**: 24.71 Å³ per atom
**E_form**: 0.043 eV/atom
**Density**: 1.5 g/cm³